VASP calculation (PBE+U) on crystalline SrCo2P2H4O10 at its relaxed geometry.

Properties
energy = -6.29 eV per atom

```
SrCo2P2H4O10
1.0
4.456 -2.996 0.000
4.456 2.996 0.000
-3.036 0.000 6.729
Co H O P Sr
2 4 10 2 1
Cartesian
0.710 -1.498 3.364
0.710 1.498 3.364
6.044 0.000 1.372
7.182 0.000 2.449
-1.306 0.000 4.279
-0.168 0.000 5.357
6.283 0.000 0.015
3.814 -1.281 1.815
3.814 1.281 1.815
1.638 0.000 2.235
6.203 0.000 2.425
-0.328 0.000 4.304
4.237 0.000 4.493
2.061 -1.281 4.914
2.061 1.281 4.914
-0.408 0.000 6.714
3.011 0.000 1.468
2.864 0.000 5.260
0.000 0.000 0.000
```